Record 1
Below is GaAgI after structural relaxation, with properties calculated at the PBE level.

a = 4.296 Å, b = 4.325 Å, c = 11.037 Å
α = 90.00°, β = 90.00°, γ = 119.78°
Fractional coordinates of all 6 atoms:
I1 0.666 0.332 0.302
I2 0.666 0.332 0.698
Ag1 0.221 0.441 0.121
Ag2 0.221 0.441 0.879
Ga1 0.336 0.673 0.500
Ga2 0.557 0.114 0.000

Its space group is Amm2.


Record 2
Below is GaAgI2 after structural relaxation, with properties calculated at the PBE level.

a = 7.208 Å, b = 7.208 Å, c = 8.361 Å
α = 64.47°, β = 64.47°, γ = 90.00°
Fractional coordinates of all 8 atoms:
I1 0.083 0.625 0.250
I2 0.875 0.917 0.750
I3 0.375 0.333 0.750
I4 0.667 0.125 0.250
Ag1 0.750 0.250 0.500
Ag2 0.000 0.000 0.000
Ga1 0.250 0.750 0.500
Ga2 0.500 0.500 0.000

Its space group is I-42d.


Record 3
Below is GaAg2I6 after structural relaxation, with properties calculated at the PBE level.

a = 7.229 Å, b = 7.737 Å, c = 12.200 Å
α = 90.00°, β = 81.74°, γ = 90.00°
Fractional coordinates of all 18 atoms:
Ag1 0.974 0.634 0.146
Ag2 0.526 0.134 0.354
Ag3 0.474 0.866 0.646
Ag4 0.026 0.366 0.854
I1 0.639 0.446 0.221
I2 0.819 0.690 0.929
I3 0.319 0.810 0.429
I4 0.139 0.054 0.721
I5 0.323 0.796 0.081
I6 0.677 0.204 0.919
I7 0.177 0.296 0.419
I8 0.181 0.310 0.071
I9 0.681 0.190 0.571
I10 0.823 0.704 0.581
I11 0.361 0.554 0.779
I12 0.861 0.946 0.279
Ga1 0.000 0.000 0.500
Ga2 0.500 0.500 0.000

Its space group is P2_1/c. The distance to the lowest polymorph of the same formula is 53 meV/atom.


Record 4
Below is Ga2AgI after structural relaxation, with properties calculated at the PBE level.

a = 5.840 Å, b = 5.840 Å, c = 8.785 Å
α = 70.59°, β = 70.59°, γ = 90.00°
Fractional coordinates of all 8 atoms:
I1 0.750 0.250 0.500
I2 0.000 0.000 0.000
Ag1 0.250 0.750 0.500
Ag2 0.500 0.500 0.000
Ga1 0.375 0.480 0.750
Ga2 0.520 0.125 0.250
Ga3 0.875 0.770 0.750
Ga4 0.230 0.625 0.250

Its space group is I-42d. The distance to the lowest polymorph of the same formula is 0 meV/atom.


Record 5
Below is GaAgI3 after structural relaxation, with properties calculated at the PBE level.

a = 4.348 Å, b = 16.751 Å, c = 9.726 Å
α = 104.26°, β = 76.99°, γ = 141.12°
Fractional coordinates of all 10 atoms:
I1 0.335 0.733 0.855
I2 0.165 0.441 0.449
I3 0.645 0.746 0.318
I4 0.621 0.113 0.566
I5 0.790 0.405 0.973
I6 0.313 0.100 0.103
Ag1 0.477 0.014 0.262
Ag2 0.480 0.832 0.159
Ga1 0.339 0.357 0.594
Ga2 0.615 0.489 0.828

Its space group is P1. The distance to the lowest polymorph of the same formula is 0 meV/atom.


Record 6
Below is Ga2AgI8 after structural relaxation, with properties calculated at the PBE level.

a = 9.028 Å, b = 8.306 Å, c = 8.306 Å
α = 120.00°, β = 90.00°, γ = 90.00°
Fractional coordinates of all 11 atoms:
Ga1 0.793 0.667 0.333
Ga2 0.207 0.333 0.667
I1 0.722 0.842 0.684
I2 0.722 0.842 0.158
I3 0.278 0.158 0.316
I4 0.077 0.667 0.333
I5 0.278 0.684 0.842
I6 0.722 0.316 0.158
I7 0.278 0.158 0.842
I8 0.923 0.333 0.667
Ag1 0.500 0.000 0.000

Its space group is P-3m1. The distance to the lowest polymorph of the same formula is 103 meV/atom.


Record 7
Below is GaAgI3 after structural relaxation, with properties calculated at the PBE level.

a = 5.681 Å, b = 5.681 Å, c = 5.681 Å
α = 90.00°, β = 90.00°, γ = 90.00°
Fractional coordinates of all 5 atoms:
I1 0.500 0.000 0.000
I2 0.000 0.000 0.500
I3 0.000 0.500 0.000
Ga1 0.000 0.000 0.000
Ag1 0.500 0.500 0.500

Its space group is Pm-3m. The distance to the lowest polymorph of the same formula is 399 meV/atom.


Record 8
Below is GaAg2I4 after structural relaxation, with properties calculated at the PBE level.

a = 6.474 Å, b = 6.474 Å, c = 7.966 Å
α = 113.98°, β = 113.98°, γ = 90.00°
Fractional coordinates of all 7 atoms:
I1 0.883 0.355 0.238
I2 0.645 0.645 0.762
I3 0.355 0.883 0.238
I4 0.117 0.117 0.762
Ga1 0.500 0.500 0.000
Ag1 0.750 0.250 0.500
Ag2 0.250 0.750 0.500

Its space group is I-42m.


Record 9
Below is GaAgI3 after structural relaxation, with properties calculated at the PBE level.

a = 5.247 Å, b = 6.925 Å, c = 11.161 Å
α = 90.00°, β = 103.60°, γ = 90.00°
Fractional coordinates of all 10 atoms:
I1 0.767 0.788 0.533
I2 0.103 0.809 0.207
I3 0.423 0.818 0.846
I4 0.897 0.309 0.793
I5 0.577 0.318 0.154
I6 0.233 0.288 0.467
Ag1 0.649 0.966 0.298
Ag2 0.351 0.466 0.702
Ga1 0.884 0.912 0.769
Ga2 0.116 0.412 0.231

Its space group is Cmc2_1. The distance to the lowest polymorph of the same formula is 78 meV/atom.


Record 10
Below is GaAgI5 after structural relaxation, with properties calculated at the PBE level.

a = 9.115 Å, b = 9.115 Å, c = 11.131 Å
α = 67.46°, β = 67.46°, γ = 45.89°
Fractional coordinates of all 14 atoms:
I1 0.634 0.114 0.005
I2 0.886 0.366 0.495
I3 0.631 0.118 0.654
I4 0.205 0.795 0.750
I5 0.114 0.634 0.505
I6 0.369 0.882 0.346
I7 0.118 0.631 0.154
I8 0.882 0.369 0.846
I9 0.366 0.886 0.995
I10 0.795 0.205 0.250
Ga1 0.000 0.000 0.000
Ga2 0.000 0.000 0.500
Ag1 0.381 0.619 0.250
Ag2 0.619 0.381 0.750

Its space group is C2/c. The distance to the lowest polymorph of the same formula is 98 meV/atom.


Record 11
Below is Ga2Ag2I7 after structural relaxation, with properties calculated at the PBE level.

a = 7.610 Å, b = 8.353 Å, c = 8.353 Å
α = 91.00°, β = 108.39°, γ = 108.39°
Fractional coordinates of all 11 atoms:
Ga1 0.604 0.802 0.802
Ga2 0.396 0.198 0.198
I1 0.197 0.397 0.043
I2 0.286 0.567 0.567
I3 0.803 0.957 0.603
I4 0.714 0.433 0.433
I5 0.803 0.603 0.957
I6 0.197 0.043 0.397
I7 0.500 0.000 0.000
Ag1 0.000 0.686 0.314
Ag2 0.000 0.314 0.686

Its space group is C2/m. The distance to the lowest polymorph of the same formula is 33 meV/atom.


Record 12
Below is Ga2AgI6 after structural relaxation, with properties calculated at the PBE level.

a = 8.705 Å, b = 11.067 Å, c = 11.067 Å
α = 87.60°, β = 69.02°, γ = 69.02°
Fractional coordinates of all 18 atoms:
I1 0.675 0.605 0.110
I2 0.507 0.654 0.620
I3 0.563 0.972 0.814
I4 0.175 0.110 0.605
I5 0.437 0.028 0.186
I6 0.937 0.186 0.028
I7 0.993 0.380 0.346
I8 0.007 0.620 0.654
I9 0.493 0.346 0.380
I10 0.825 0.890 0.395
I11 0.325 0.395 0.890
I12 0.063 0.814 0.972
Ga1 0.286 0.208 0.382
Ga2 0.214 0.618 0.792
Ga3 0.714 0.792 0.618
Ga4 0.786 0.382 0.208
Ag1 0.250 0.191 0.809
Ag2 0.750 0.809 0.191

Its space group is C2/c. The distance to the lowest polymorph of the same formula is 0 meV/atom.


Record 13
Below is Ga2Ag2I after structural relaxation, with properties calculated at the PBE level.

a = 7.841 Å, b = 7.841 Å, c = 3.748 Å
α = 90.00°, β = 90.00°, γ = 90.00°
Fractional coordinates of all 10 atoms:
I1 0.500 0.500 0.000
I2 0.000 0.000 0.000
Ag1 0.628 0.128 0.000
Ag2 0.872 0.628 0.000
Ag3 0.128 0.372 0.000
Ag4 0.372 0.872 0.000
Ga1 0.159 0.659 0.500
Ga2 0.341 0.159 0.500
Ga3 0.659 0.841 0.500
Ga4 0.841 0.341 0.500

Its space group is P4/mbm. The distance to the lowest polymorph of the same formula is 46 meV/atom.


Record 14
Below is Ga2Ag2I7 after structural relaxation, with properties calculated at the PBE level.

a = 7.181 Å, b = 7.576 Å, c = 19.845 Å
α = 90.00°, β = 90.00°, γ = 108.88°
Fractional coordinates of all 22 atoms:
I1 0.323 0.607 0.456
I2 0.414 0.590 0.176
I3 0.000 0.500 0.000
I4 0.128 0.853 0.816
I5 0.323 0.107 0.044
I6 0.128 0.353 0.684
I7 0.414 0.090 0.324
I8 0.586 0.410 0.824
I9 0.586 0.910 0.676
I10 0.677 0.393 0.544
I11 0.000 0.000 0.500
I12 0.677 0.893 0.956
I13 0.872 0.647 0.316
I14 0.872 0.147 0.184
Ga1 0.151 0.341 0.101
Ga2 0.849 0.659 0.899
Ga3 0.849 0.159 0.601
Ga4 0.151 0.841 0.399
Ag1 0.592 0.409 0.403
Ag2 0.408 0.591 0.597
Ag3 0.408 0.091 0.903
Ag4 0.592 0.909 0.097

Its space group is P2_1/c. The distance to the lowest polymorph of the same formula is 0 meV/atom.


Record 15
Below is Ga2Ag2I after structural relaxation, with properties calculated at the PBE level.

a = 4.387 Å, b = 4.387 Å, c = 6.759 Å
α = 71.06°, β = 71.06°, γ = 90.00°
Fractional coordinates of all 5 atoms:
Ga1 0.392 0.392 0.217
Ga2 0.608 0.608 0.783
Ag1 0.250 0.750 0.500
Ag2 0.750 0.250 0.500
I1 0.000 0.000 0.000

Its space group is I4/mmm. The distance to the lowest polymorph of the same formula is 20 meV/atom.


Record 16
Below is Ga2AgI8 after structural relaxation, with properties calculated at the PBE level.

a = 7.418 Å, b = 8.515 Å, c = 8.515 Å
α = 79.13°, β = 90.98°, γ = 90.98°
Fractional coordinates of all 11 atoms:
Ga1 0.332 0.225 0.225
Ga2 0.668 0.775 0.775
I1 0.787 0.596 0.596
I2 0.193 0.295 0.932
I3 0.213 0.404 0.404
I4 0.807 0.705 0.068
I5 0.193 0.932 0.295
I6 0.676 0.219 0.219
I7 0.807 0.068 0.705
I8 0.324 0.781 0.781
Ag1 0.000 0.000 0.000

Its space group is C2/m. The distance to the lowest polymorph of the same formula is 0 meV/atom.


Record 17
Below is GaAg2I after structural relaxation, with properties calculated at the PBE level.

a = 5.124 Å, b = 5.124 Å, c = 5.124 Å
α = 60.00°, β = 60.00°, γ = 60.00°
Fractional coordinates of all 4 atoms:
I1 0.500 0.500 0.500
Ag1 0.750 0.750 0.750
Ag2 0.250 0.250 0.250
Ga1 0.000 0.000 0.000

Its space group is Fm-3m. The distance to the lowest polymorph of the same formula is 161 meV/atom.


Record 18
Below is GaAg2I after structural relaxation, with properties calculated at the PBE level.

a = 3.389 Å, b = 3.389 Å, c = 9.793 Å
α = 80.04°, β = 80.04°, γ = 60.00°
Fractional coordinates of all 4 atoms:
Ag1 0.101 0.101 0.697
Ag2 0.899 0.899 0.303
I1 0.000 0.000 0.000
Ga1 0.500 0.500 0.500

Its space group is R-3m. The distance to the lowest polymorph of the same formula is 7 meV/atom.


Record 19
Below is InGa2AgI8 after structural relaxation, with properties calculated at the PBE level.

a = 7.403 Å, b = 7.403 Å, c = 10.534 Å
α = 90.00°, β = 90.00°, γ = 120.00°
Fractional coordinates of all 12 atoms:
I1 0.680 0.005 0.319
I2 0.005 0.325 0.681
I3 0.675 0.680 0.681
I4 0.320 0.995 0.681
I5 0.325 0.320 0.319
I6 0.995 0.675 0.319
I7 0.333 0.667 0.000
I8 0.667 0.333 0.000
In1 0.000 0.000 0.000
Ag1 0.000 0.000 0.500
Ga1 0.333 0.667 0.755
Ga2 0.667 0.333 0.245

Its space group is P-3.


Record 20
Below is K2GaAgI6 after structural relaxation, with properties calculated at the PBE level.

a = 8.241 Å, b = 8.241 Å, c = 8.241 Å
α = 60.00°, β = 60.00°, γ = 60.00°
Fractional coordinates of all 10 atoms:
I1 0.245 0.755 0.755
I2 0.245 0.245 0.755
I3 0.245 0.755 0.245
I4 0.755 0.245 0.755
I5 0.755 0.755 0.245
I6 0.755 0.245 0.245
Ga1 0.000 0.000 0.000
Ag1 0.500 0.500 0.500
K1 0.750 0.750 0.750
K2 0.250 0.250 0.250

Its space group is Fm-3m.


Record 21
Below is KGa2AgI8 after structural relaxation, with properties calculated at the PBE level.

a = 7.470 Å, b = 7.470 Å, c = 10.610 Å
α = 90.00°, β = 90.00°, γ = 120.00°
Fractional coordinates of all 12 atoms:
I1 0.328 0.319 0.322
I2 0.667 0.333 0.005
I3 0.681 0.008 0.322
I4 0.992 0.672 0.322
I5 0.333 0.667 0.995
I6 0.008 0.328 0.678
I7 0.672 0.681 0.678
I8 0.319 0.992 0.678
K1 0.000 0.000 0.000
Ga1 0.667 0.333 0.248
Ga2 0.333 0.667 0.752
Ag1 0.000 0.000 0.500

Its space group is P-3.


Record 22
Below is KGaAgI2 after structural relaxation, with properties calculated at the PBE level.

a = 6.199 Å, b = 4.990 Å, c = 6.199 Å
α = 90.00°, β = 90.00°, γ = 90.00°
Fractional coordinates of all 5 atoms:
Ga1 0.000 0.500 0.000
I1 0.500 0.000 0.000
I2 0.000 0.000 0.500
K1 0.500 0.500 0.500
Ag1 0.000 0.000 0.000

Its space group is P4/mmm.


| no. | volume (Å³/atom) | formation energy (no corrections) (eV/atom) |
| --- | --- | --- |
| 1 | 29.66 | -0.032 |
| 2 | 43.05 | -0.245 |
| 3 | 37.51 | -0.216 |
| 4 | 33.06 | 0.109 |
| 5 | 43.03 | -0.343 |
| 6 | 49.03 | -0.270 |
| 7 | 36.68 | 0.057 |
| 8 | 39.03 | -0.260 |
| 9 | 39.42 | -0.265 |
| 10 | 43.12 | -0.172 |
| 11 | 43.10 | -0.302 |
| 12 | 51.38 | -0.358 |
| 13 | 23.05 | 0.119 |
| 14 | 46.43 | -0.335 |
| 15 | 23.12 | 0.094 |
| 16 | 48.01 | -0.373 |
| 17 | 23.78 | 0.328 |
| 18 | 23.85 | 0.174 |
| 19 | 41.67 | -0.417 |
| 20 | 39.57 | -0.715 |
| 21 | 42.73 | -0.607 |
| 22 | 38.35 | -0.422 |